1.
Material: NbAg7S6
Method: DFT, PBE-GGA
State: optimized geometry

a = 7.7850 Å, b = 7.3453 Å, c = 13.2632 Å
α = 90.00°, β = 124.76°, γ = 90.00°
Closest atoms and distances in Å follow each position.
Positions (direct):
Nb1 0.0000 0.2387 0.0000  4 S 2.31-2.37
Nb2 0.0000 0.7613 0.5000  4 S 2.31-2.37
Ag1 0.1203 0.1278 0.4210  4 S 2.56-2.75
Ag2 0.1203 0.8722 0.9210  4 S 2.56-2.75
Ag3 0.3041 0.2243 0.2843  3 S 2.57-2.69
Ag4 0.3041 0.7757 0.7843  3 S 2.57-2.69
Ag5 0.3135 0.4881 0.9607  2 S 2.43-2.46
Ag6 0.3135 0.5119 0.4607  2 S 2.43-2.46
Ag7 0.4924 0.0091 0.1791  2 S 2.47-2.57
Ag8 0.4924 0.9909 0.6791  2 S 2.47-2.57
Ag9 0.5981 0.4049 0.7162  3 S 2.58-2.67
Ag10 0.5981 0.5951 0.2162  3 S 2.58-2.67
Ag11 0.7192 0.4158 0.4559  4 S 2.60-2.75
Ag12 0.7192 0.5842 0.9559  4 S 2.60-2.75
Ag13 0.9178 0.4138 0.2018  2 S 2.44-2.50
Ag14 0.9178 0.5862 0.7018  2 S 2.44-2.50
S1 0.0823 0.2300 0.8567  1 Nb 2.33, 1 Ag 2.43
S2 0.0823 0.7700 0.3567  1 Nb 2.33, 1 Ag 2.43
S3 0.1169 0.0244 0.6192  1 Nb 2.33, 2 Ag 2.57
S4 0.1169 0.9756 0.1192  1 Nb 2.33, 2 Ag 2.57
S5 0.1334 0.4975 0.6245  1 Nb 2.37, 1 Ag 2.50
S6 0.1334 0.5025 0.1245  1 Nb 2.37, 1 Ag 2.50
S7 0.5142 0.2262 0.5199  5 Ag 2.46-2.66
S8 0.5142 0.7738 0.0199  5 Ag 2.46-2.66
S9 0.6414 0.2232 0.8959  1 Nb 2.31, 1 Ag 2.58
S10 0.6414 0.7768 0.3959  1 Nb 2.31, 1 Ag 2.58
S11 0.7498 0.2576 0.2863  5 Ag 2.44-2.67
S12 0.7498 0.7424 0.7863  5 Ag 2.44-2.67

Properties
The calculation puts the energy at -115.76 eV per cell. The calculation puts the total magnetization at 0.0001 μB/atom. The volume comes out at 22.3 A^3/atom.



2.
Material: NaCdGe
Method: DFT, PBE-GGA
State: optimized geometry

a = 4.7169 Å, b = 4.7169 Å, c = 4.7169 Å
α = 60.00°, β = 60.00°, γ = 60.00°
Closest atoms and distances in Å follow each position.
Positions (direct):
Na1 0.0000 0.0000 0.0000  4 Ge 2.89
Cd1 0.5000 0.5000 0.5000  4 Ge 2.89
Ge1 0.7500 0.7500 0.7500  4 Na 2.89, 4 Cd 2.89

Properties
The calculation puts the energy above the most stable polymorph in this dataset at 0.000 eV/atom. The volume comes out at 24.7 A^3/atom.



3.
Material: Sc2B4Os5
Method: DFT, PBE-GGA
State: optimized geometry

a = 8.5812 Å, b = 10.1042 Å, c = 3.0203 Å
α = 90.00°, β = 90.00°, γ = 90.00°
Closest atoms and distances in Å follow each position.
Positions (direct):
Sc1 0.1570 0.1804 0.0000  6 Os 2.67-2.76, 5 B 2.73-2.86
Sc2 0.3430 0.6804 0.0000  6 Os 2.67-2.76, 5 B 2.73-2.86
Sc3 0.6570 0.3196 0.0000  6 Os 2.67-2.76, 5 B 2.73-2.86
Sc4 0.8430 0.8196 0.0000  6 Os 2.67-2.76, 5 B 2.73-2.86
B1 0.0376 0.5893 0.0000  1 B 1.92
B2 0.1478 0.8981 0.0000  6 Os 2.22-2.30
B3 0.3522 0.3981 0.0000  6 Os 2.22-2.30
B4 0.4624 0.0893 0.0000  1 B 1.92
B5 0.5376 0.9107 0.0000  1 B 1.92
B6 0.6478 0.6019 0.0000  6 Os 2.22-2.30
B7 0.8522 0.1019 0.0000  6 Os 2.22-2.30
B8 0.9624 0.4107 0.0000  1 B 1.92
Os1 0.0000 0.0000 0.5000  4 B 2.22
Os2 0.0951 0.7379 0.5000  4 B 2.19-2.26
Os3 0.1601 0.4514 0.5000  6 B 2.30-2.31
Os4 0.3399 0.9514 0.5000  6 B 2.30-2.31
Os5 0.4049 0.2379 0.5000  4 B 2.19-2.26
Os6 0.5000 0.5000 0.5000  4 B 2.22
Os7 0.5951 0.7621 0.5000  4 B 2.19-2.26
Os8 0.6601 0.0486 0.5000  6 B 2.30-2.31
Os9 0.8399 0.5486 0.5000  6 B 2.30-2.31
Os10 0.9049 0.2621 0.5000  4 B 2.19-2.26

Properties
The calculation puts the energy at -201.26 eV per cell. The calculation puts the total magnetization at 0.0005 μB/atom. The volume comes out at 11.9 A^3/atom.



4.
Material: Rb2Ta2Ni3
Method: DFT, PBE-GGA
State: optimized geometry

a = 12.4592 Å, b = 12.4592 Å, c = 12.4592 Å
α = 19.69°, β = 19.69°, γ = 19.69°
Closest atoms and distances in Å follow each position.
Positions (direct):
Rb1 0.0000 0.0000 0.0000  3 Ni 3.56, 3 Ta 3.88
Rb2 0.4364 0.4364 0.4364  1 Ni 3.05
Ta1 0.1970 0.1970 0.1970  7 Ni 2.43-2.63
Ta2 0.5846 0.5846 0.5846  4 Ni 2.38-2.50
Ni1 0.2632 0.2632 0.2632  4 Ta 2.43-2.50
Ni2 0.5197 0.5197 0.5197  4 Ta 2.38-2.49
Ni3 0.8891 0.8891 0.8891  6 Ta 2.63-2.68, 6 Ni 2.79-2.88

Properties
The calculation puts the energy at -40.51 eV per cell. The calculation puts the total magnetization at 0.0018 μB/atom. The volume comes out at 27.4 A^3/atom.



5.
Material: MgUAg
Method: DFT, PBE-GGA
State: optimized geometry

a = 4.8385 Å, b = 4.8385 Å, c = 4.8385 Å
α = 60.00°, β = 60.00°, γ = 60.00°
Closest atoms and distances in Å follow each position.
Positions (direct):
Mg1 0.0000 0.0000 0.0000  4 U 2.96, 4 Ag 2.96
U1 0.2500 0.2500 0.2500  4 Mg 2.96
Ag1 0.7500 0.7500 0.7500  4 Mg 2.96

Properties
The calculation puts the energy at -12.61 eV per cell. The calculation puts the total magnetization at 1.1758 μB/atom. The volume comes out at 26.7 A^3/atom.



6.
Material: BeTcBW
Method: DFT, PBE-GGA
State: optimized geometry

a = 4.0621 Å, b = 4.0621 Å, c = 4.0621 Å
α = 60.00°, β = 60.00°, γ = 60.00°
Closest atoms and distances in Å follow each position.
Positions (direct):
Be1 0.0000 0.0000 0.0000  4 W 2.49, 4 B 2.49
Tc1 0.5000 0.5000 0.5000  4 W 2.49, 4 B 2.49
B1 0.2500 0.2500 0.2500  4 Tc 2.49, 4 Be 2.49
W1 0.7500 0.7500 0.7500  4 Tc 2.49, 4 Be 2.49

Properties
The calculation puts the energy above the most stable polymorph in this dataset at 0.247 eV/atom. The calculation puts the total magnetization at 0.0001 μB/atom. The volume comes out at 11.8 A^3/atom.



7.
Material: TaTeAs
Method: DFT, PBE-GGA
State: optimized geometry

a = 4.6643 Å, b = 4.6643 Å, c = 4.6643 Å
α = 60.00°, β = 60.00°, γ = 60.00°
Closest atoms and distances in Å follow each position.
Positions (direct):
Ta1 0.0000 0.0000 0.0000  4 As 2.86, 4 Te 2.86
Te1 0.2500 0.2500 0.2500  4 Ta 2.86
As1 0.7500 0.7500 0.7500  4 Ta 2.86

Properties
The calculation puts the energy at -18.99 eV per cell. The calculation puts the total magnetization at 0.2299 μB/atom. The volume comes out at 23.9 A^3/atom.



8.
Material: SrHfZn2
Method: DFT, PBE-GGA
State: optimized geometry

a = 5.0257 Å, b = 5.0257 Å, c = 5.0257 Å
α = 60.00°, β = 60.00°, γ = 60.00°
Closest atoms and distances in Å follow each position.
Positions (direct):
Sr1 0.0000 0.0000 0.0000  4 Zn 3.08, 4 Hf 3.08
Hf1 0.2500 0.2500 0.2500  4 Zn 3.08, 4 Sr 3.08
Zn1 0.5000 0.5000 0.5000  4 Hf 3.08, 4 Zn 3.08
Zn2 0.7500 0.7500 0.7500  4 Zn 3.08, 4 Sr 3.08

Properties
The calculation puts the energy at -11.96 eV per cell. The calculation puts the total magnetization at 0.0031 μB/atom. The volume comes out at 22.4 A^3/atom.



9.
Material: Hg2PO3F
Method: DFT, PBE-GGA
State: optimized geometry

a = 8.8191 Å, b = 8.8191 Å, c = 8.8191 Å
α = 116.22°, β = 91.19°, γ = 122.51°
Closest atoms and distances in Å follow each position.
Positions (direct):
Hg1 0.1241 0.0209 0.6931  3 O 2.33-2.46, 1 Hg 2.55
Hg2 0.1723 0.4791 0.1032  3 O 2.33-2.46, 1 Hg 2.55
Hg3 0.3277 0.4310 0.3069  3 O 2.33-2.46, 1 Hg 2.55
Hg4 0.3759 0.0690 0.8968  3 O 2.33-2.46, 1 Hg 2.55
Hg5 0.6241 0.9310 0.1032  3 O 2.33-2.46, 1 Hg 2.55
Hg6 0.6723 0.5690 0.6931  3 O 2.33-2.46, 1 Hg 2.55
Hg7 0.8277 0.5209 0.8968  3 O 2.33-2.46, 1 Hg 2.55
Hg8 0.8759 0.9791 0.3069  3 O 2.33-2.46, 1 Hg 2.55
P1 0.2392 0.4572 0.6964  3 O 1.51-1.53, 1 F 1.59
P2 0.2608 0.9572 0.2180  3 O 1.51-1.53, 1 F 1.59
P3 0.7392 0.0428 0.7820  3 O 1.51-1.53, 1 F 1.59
P4 0.7608 0.5428 0.3036  3 O 1.51-1.53, 1 F 1.59
O1 0.0842 0.2162 0.6029  1 P 1.53
O2 0.1133 0.7162 0.1320  1 P 1.53
O3 0.1690 0.0651 0.2341  1 P 1.51
O4 0.3310 0.5651 0.8961  1 P 1.51
O5 0.3867 0.5187 0.6029  1 P 1.53
O6 0.4158 0.0187 0.1320  1 P 1.53
O7 0.5842 0.9813 0.8680  1 P 1.53
O8 0.6133 0.4813 0.3971  1 P 1.53
O9 0.6690 0.4349 0.1039  1 P 1.51
O10 0.8310 0.9349 0.7659  1 P 1.51
O11 0.8867 0.2838 0.8680  1 P 1.53
O12 0.9158 0.7838 0.3971  1 P 1.53
F1 0.1273 0.5427 0.6700  1 P 1.59
F2 0.3727 0.0427 0.4154  1 P 1.59
F3 0.6273 0.9573 0.5846  1 P 1.59
F4 0.8727 0.4573 0.3300  1 P 1.59

Properties
The calculation puts the energy at -133.39 eV per cell. The volume comes out at 17.4 A^3/atom.



Results for ρ: 5.545 4.655 13.751 6.129 7.675 10.569 8.875 7.343 6.797 (in g/cm3, following the order of the records).